Record 1
# Sm3Dy2Er3 PBE optimized geometry
# Crystal system: orthorhombic
# Excess energy over the best structure of this formula in the dataset: 0.0 kJ per mole of atoms
# Space group: No. 71
data_Sm3Dy2Er3
_symmetry_space_group_name_H-M 'P 1'
_symmetry_Int_Tables_number 1
_cell_length_a 5.0277
_cell_length_b 5.0360
_cell_length_c 10.6895
_cell_angle_alpha 103.62
_cell_angle_beta 103.60
_cell_angle_gamma 90.00
loop_
_symmetry_equiv_pos_as_xyz
'x,y,z'
loop_
_atom_site_label
_atom_site_type_symbol
_atom_site_fract_x
_atom_site_fract_y
_atom_site_fract_z
_atom_site_occupancy
Dy1 Dy 0.2495 0.7495 0.4991 1
Dy2 Dy 0.7505 0.2505 0.5009 1
Er1 Er 0.3742 0.3742 0.7484 1
Er2 Er 0.5000 0.0000 0.0000 1
Er3 Er 0.6258 0.6258 0.2516 1
Sm1 Sm 0.8752 0.8752 0.7504 1
Sm2 Sm 0.1248 0.1248 0.2496 1
Sm3 Sm 0.0000 0.5000 0.0000 1

=====

Record 2
# Sm8Dy4Er3 PBE optimized geometry
# Crystal system: trigonal
# Excess energy over the best structure of this formula in the dataset: 0.0 kJ per mole of atoms
# Space group: No. 166
data_Sm8Dy4Er3
_symmetry_space_group_name_H-M 'P 1'
_symmetry_Int_Tables_number 1
_cell_length_a 6.9667
_cell_length_b 6.9667
_cell_length_c 12.5018
_cell_angle_alpha 73.82
_cell_angle_beta 73.82
_cell_angle_gamma 60.00
loop_
_symmetry_equiv_pos_as_xyz
'x,y,z'
loop_
_atom_site_label
_atom_site_type_symbol
_atom_site_fract_x
_atom_site_fract_y
_atom_site_fract_z
_atom_site_occupancy
Sm1 Sm 0.2477 0.7502 0.2520 1
Sm2 Sm 0.2498 0.7523 0.7480 1
Sm3 Sm 0.2498 0.2498 0.7480 1
Sm4 Sm 0.7523 0.2498 0.7480 1
Sm5 Sm 0.7502 0.2477 0.2520 1
Sm6 Sm 0.2453 0.2453 0.2640 1
Sm7 Sm 0.7502 0.7502 0.2520 1
Sm8 Sm 0.7547 0.7547 0.7360 1
Dy1 Dy 0.5000 0.5000 0.5000 1
Dy2 Dy 0.3360 0.3360 0.9920 1
Dy3 Dy 0.6640 0.6640 0.0080 1
Dy4 Dy 0.0000 0.0000 0.0000 1
Er1 Er 0.5000 0.0000 0.5000 1
Er2 Er 0.0000 0.0000 0.5000 1
Er3 Er 0.0000 0.5000 0.5000 1

=====

Record 3
# Sm5Dy6Er PBE optimized geometry
# Crystal system: orthorhombic
# Space group: No. 71
data_Sm5Dy6Er
_symmetry_space_group_name_H-M 'P 1'
_symmetry_Int_Tables_number 1
_cell_length_a 5.0524
_cell_length_b 10.1003
_cell_length_c 9.4575
_cell_angle_alpha 122.28
_cell_angle_beta 105.51
_cell_angle_gamma 90.00
loop_
_symmetry_equiv_pos_as_xyz
'x,y,z'
loop_
_atom_site_label
_atom_site_type_symbol
_atom_site_fract_x
_atom_site_fract_y
_atom_site_fract_z
_atom_site_occupancy
Dy1 Dy 0.5000 0.7515 0.0000 1
Dy2 Dy 0.1664 0.9172 0.3326 1
Dy3 Dy 0.8337 0.5846 0.6674 1
Dy4 Dy 0.1663 0.4154 0.3326 1
Dy5 Dy 0.8336 0.0828 0.6674 1
Dy6 Dy 0.5000 0.2485 0.0000 1
Sm1 Sm 0.3335 0.3335 0.6669 1
Sm2 Sm 0.3342 0.8341 0.6683 1
Sm3 Sm 0.6658 0.1659 0.3317 1
Sm4 Sm 0.0000 0.5000 0.0000 1
Sm5 Sm 0.6665 0.6665 0.3331 1
Er1 Er 0.0000 0.0000 0.0000 1

=====

Record 4
# SmDy2Er PBE optimized geometry
# Crystal system: trigonal
# Excess energy over the best structure of this formula in the dataset: 0.2 kJ per mole of atoms
# Space group: No. 160
data_SmDy2Er
_symmetry_space_group_name_H-M 'P 1'
_symmetry_Int_Tables_number 1
_cell_length_a 3.5763
_cell_length_b 3.5763
_cell_length_c 11.6755
_cell_angle_alpha 81.19
_cell_angle_beta 81.19
_cell_angle_gamma 60.00
loop_
_symmetry_equiv_pos_as_xyz
'x,y,z'
loop_
_atom_site_label
_atom_site_type_symbol
_atom_site_fract_x
_atom_site_fract_y
_atom_site_fract_z
_atom_site_occupancy
Er1 Er 0.6665 0.6665 0.0005 1
Dy1 Dy 0.0821 0.0821 0.7538 1
Dy2 Dy 0.2511 0.2511 0.2468 1
Sm1 Sm 0.5004 0.5004 0.4989 1

=====

Record 5
# SmDy4Er PBE optimized geometry
# Crystal system: cubic
# Excess energy over the best structure of this formula in the dataset: 24.3 kJ per mole of atoms
# Space group: No. 216
data_SmDy4Er
_symmetry_space_group_name_H-M 'P 1'
_symmetry_Int_Tables_number 1
_cell_length_a 6.5605
_cell_length_b 6.5605
_cell_length_c 6.5605
_cell_angle_alpha 60.00
_cell_angle_beta 60.00
_cell_angle_gamma 60.00
loop_
_symmetry_equiv_pos_as_xyz
'x,y,z'
loop_
_atom_site_label
_atom_site_type_symbol
_atom_site_fract_x
_atom_site_fract_y
_atom_site_fract_z
_atom_site_occupancy
Dy1 Dy 0.6252 0.6252 0.1245 1
Dy2 Dy 0.6252 0.1245 0.6252 1
Dy3 Dy 0.1245 0.6252 0.6252 1
Dy4 Dy 0.6252 0.6252 0.6252 1
Er1 Er 0.0000 0.0000 0.0000 1
Sm1 Sm 0.2500 0.2500 0.2500 1

=====

Record 6
# SmDy2Er4 PBE optimized geometry
# Crystal system: monoclinic
# Excess energy over the best structure of this formula in the dataset: 0.0 kJ per mole of atoms
# Space group: No. 12
data_SmDy2Er4
_symmetry_space_group_name_H-M 'P 1'
_symmetry_Int_Tables_number 1
_cell_length_a 3.5093
_cell_length_b 9.3687
_cell_length_c 8.4644
_cell_angle_alpha 121.71
_cell_angle_beta 78.03
_cell_angle_gamma 111.98
loop_
_symmetry_equiv_pos_as_xyz
'x,y,z'
loop_
_atom_site_label
_atom_site_type_symbol
_atom_site_fract_x
_atom_site_fract_y
_atom_site_fract_z
_atom_site_occupancy
Er1 Er 0.1918 0.8356 0.2859 1
Er2 Er 0.4107 0.7061 0.5894 1
Er3 Er 0.8082 0.1644 0.7141 1
Er4 Er 0.5893 0.2939 0.4106 1
Dy1 Dy 0.6401 0.5702 0.8599 1
Dy2 Dy 0.3599 0.4298 0.1401 1
Sm1 Sm 0.0000 0.0000 0.0000 1

=====

| no. | magnetization (μB/f.u.) | energy of formation from the pure elements (kJ per mole of atoms) |
| --- | --- | --- |
| 1 | 0.0 | 2.0 |
| 2 | 0.0 | 14.4 |
| 3 | 0.0 | 1.8 |
| 4 | 0.0 | 1.4 |
| 5 | 0.5 | 26.1 |
| 6 | 0.0 | 3.6 |